Ag3Pt2 | PBEsol | relaxed

Results
**Formation energy**: 0.0349 eV/atom
**Total DFT energy (no corrections)**: -47.37 eV for the cell shown
**Size of the total moment**: 0.00 μB per formula unit

abc: 3.9621 10.2446 10.2446
angles: 22.28 90.00 90.00
Last column: nearest neighbours and their distance in Å.
Atoms (fractional coordinates):
Ag1 0.0000 0.0000 0.0000  8 Pt 2.80-2.81, 4 Ag 2.81
Ag2 0.0000 0.1994 0.1994  6 Ag 2.80-2.84, 6 Pt 2.82-2.84
Ag3 0.0000 0.4007 0.4007  8 Ag 2.80-2.83, 4 Pt 2.83-2.87
Ag4 0.5000 0.3004 0.3004  4 Pt 2.80, 8 Ag 2.83-2.84
Ag5 0.5000 0.6997 0.6997  6 Ag 2.80-2.83, 6 Pt 2.83
Ag6 0.5000 0.9011 0.9011  8 Ag 2.80-2.83, 4 Pt 2.83-2.86
Pt1 0.0000 0.5993 0.5993  6 Pt 2.76-2.80, 6 Ag 2.81-2.83
Pt2 0.0000 0.8004 0.8004  12 Ag 2.80-2.84
Pt3 0.5000 0.0988 0.0988  6 Pt 2.75-2.80, 6 Ag 2.81-2.83
Pt4 0.5000 0.5038 0.5038  4 Pt 2.75-2.76, 8 Ag 2.80-2.87